Entry 1:
## ZnNi2Ir (PBE)

Data for a relaxed ZnNi2Ir crystal.

a b c (Å): 2.649 2.649 7.129
angles (deg): 90.00 90.00 90.00
Element x y z (fractional)
Ni  0.000  0.000  0.002
Ni  0.000  0.000  0.498
Zn  0.500  0.500  0.250
Ir  0.500  0.500  0.750

Results
* space-group type: P4/mmm
* energy of formation: -37 kJ/mol of formula units
* total moment: 0.00 μB per formula unit
* VASP energy: -5.521 eV per atom



Entry 2:
## MnNb2GeH (PBE)

Data for a relaxed MnNb2GeH crystal.

a b c (Å): 4.134 4.134 3.840
angles (deg): 90.00 90.00 90.00
Each line ends with the local moment (μB).
Element x y z (fractional)
H  0.000  0.000  0.000  0.00
Nb  0.000  0.500  0.000  -0.25
Nb  0.500  0.000  0.000  -0.25
Mn  0.000  0.000  0.500  2.41
Ge  0.500  0.500  0.500  -0.03

Results
* space-group type: P4/mmm
* total moment: 1.90 μB per formula unit
* VASP energy: -7.653 eV per atom



Entry 3:
## Mn4CoOs (PBE)

Data for a relaxed Mn4CoOs crystal.

a b c (Å): 4.607 4.607 4.607
angles (deg): 60.00 60.00 60.00
Each line ends with the local moment (μB).
Element x y z (fractional)
Mn  0.880  0.373  0.373  0.48
Mn  0.373  0.373  0.880  0.48
Mn  0.373  0.880  0.373  0.48
Mn  0.373  0.373  0.373  0.48
Co  0.000  0.000  0.000  1.19
Os  0.750  0.750  0.750  -0.16

Results
* space-group type: F-43m
* energy of formation: 74 kJ/mol of formula units
* E above lowest polymorph: 80 meV/atom
* total moment: 2.95 μB per formula unit
* VASP energy: -9.041 eV per atom



Entry 4:
## CdRu2Br2 (PBE)

Data for a relaxed CdRu2Br2 crystal.

a b c (Å): 7.645 7.645 3.253
angles (deg): 90.00 90.00 90.00
Element x y z (fractional)
Ru  0.327  0.827  0.000
Ru  0.827  0.673  0.000
Ru  0.673  0.173  0.000
Ru  0.173  0.327  0.000
Br  0.148  0.648  0.500
Br  0.648  0.852  0.500
Br  0.852  0.352  0.500
Br  0.352  0.148  0.500
Cd  0.000  0.000  0.000
Cd  0.500  0.500  0.000

Results
* space-group type: P4/mbm
* E above lowest polymorph: 114 meV/atom
* total moment: 0.00 μB per formula unit
* VASP energy: -3.724 eV per atom
* uncorrected formation energy: 0.839 eV/atom



Entry 5:
## Pr2MnCu (PBE)

Data for a relaxed Pr2MnCu crystal.

a b c (Å): 3.628 3.628 7.413
angles (deg): 90.00 90.00 90.00
Each line ends with the local moment (μB).
Element x y z (fractional)
Pr  0.000  0.000  0.755  -0.18
Pr  0.000  0.000  0.245  -0.18
Mn  0.500  0.500  0.500  3.59
Cu  0.500  0.500  0.000  -0.01

Results
* space-group type: P4/mmm
* energy of formation: 36 kJ/mol of formula units
* total moment: 3.16 μB per formula unit
* VASP energy: -5.613 eV per atom



Entry 6:
## In2AsP2 (PBE)

Data for a relaxed In2AsP2 crystal.

a b c (Å): 3.459 3.459 9.177
angles (deg): 79.14 79.14 90.00
Element x y z (fractional)
P  0.750  0.250  0.500
P  0.250  0.750  0.500
As  0.000  0.000  0.000
In  0.395  0.395  0.209
In  0.605  0.605  0.791

Results
* space-group type: I4/mmm
* energy of formation: 104 kJ/mol of formula units
* total moment: 0.00 μB per formula unit
* VASP energy: -3.973 eV per atom



Entry 7:
## InRhCl2 (PBE)

Data for a relaxed InRhCl2 crystal.

a b c (Å): 3.622 3.622 8.968
angles (deg): 90.00 90.00 124.24
Element x y z (fractional)
Cl  0.000  0.000  0.929
Cl  0.500  0.500  0.304
Rh  0.500  0.500  0.747
In  0.000  0.000  0.521

Results
* space-group type: Cmm2
* E above lowest polymorph: 177 meV/atom
* total moment: 0.02 μB per formula unit
* VASP energy: -3.713 eV per atom
* uncorrected formation energy: -0.267 eV/atom



Entry 8:
## Lu2GaFe (PBE)

Data for a relaxed Lu2GaFe crystal.

a b c (Å): 4.809 4.809 4.809
angles (deg): 60.00 60.00 60.00
Each line ends with the local moment (μB).
Element x y z (fractional)
Lu  0.250  0.250  0.250  -0.19
Lu  0.750  0.750  0.750  -0.19
Fe  0.000  0.000  0.000  1.49
Ga  0.500  0.500  0.500  -0.03

Results
* space-group type: Fm-3m
* energy of formation: -92 kJ/mol of formula units
* E above lowest polymorph: 53 meV/atom
* total moment: 1.03 μB per formula unit
* VASP energy: -5.371 eV per atom



Entry 9:
## KCdRhCl6 (PBE)

Data for a relaxed KCdRhCl6 crystal.

a b c (Å): 6.612 6.612 6.847
angles (deg): 90.00 90.00 60.00
Element x y z (fractional)
K  0.000  0.000  0.000
Cd  0.667  0.667  0.500
Rh  0.333  0.333  0.500
Cl  0.034  0.349  0.299
Cl  0.349  0.034  0.701
Cl  0.617  0.349  0.701
Cl  0.034  0.617  0.701
Cl  0.349  0.617  0.299
Cl  0.617  0.034  0.299

Results
* space-group type: P312
* total moment: 0.00 μB per formula unit
* VASP energy: -3.356 eV per atom
* uncorrected formation energy: -1.084 eV/atom



Entry 10:
## TcBi3Mo (PBE)

Data for a relaxed TcBi3Mo crystal.

a b c (Å): 5.299 5.299 5.299
angles (deg): 90.00 90.00 90.00
Each line ends with the local moment (μB).
Element x y z (fractional)
Mo  0.500  0.500  0.500  3.52
Bi  0.000  0.500  0.000  -0.12
Bi  0.000  0.000  0.500  -0.14
Bi  0.500  0.000  0.000  -0.04
Tc  0.000  0.000  0.000  0.00

Results
* space-group type: Pm-3m
* energy of formation: 595 kJ/mol of formula units
* E above lowest polymorph: 0 meV/atom
* total moment: 3.97 μB per formula unit
* VASP energy: -5.334 eV per atom



Entry 11:
## TbYZnFe (PBE)

Data for a relaxed TbYZnFe crystal.

a b c (Å): 4.925 4.925 4.925
angles (deg): 60.00 60.00 60.00
Each line ends with the local moment (μB).
Element x y z (fractional)
Y  0.000  0.000  0.000  -0.20
Zn  0.750  0.750  0.750  -0.02
Tb  0.500  0.500  0.500  -0.23
Fe  0.250  0.250  0.250  1.84

Results
* space-group type: F-43m
* energy of formation: -25 kJ/mol of formula units
* total moment: 1.23 μB per formula unit
* VASP energy: -5.274 eV per atom